First-principles (PBE+U) data for a relaxed SmMn2O5 crystal, as listed in Alexandria.

density of states at the Fermi level = 0.061 states/eV per atom
E = -7.63 eV/atom

Geometry as POSCAR:
```
SmMn2O5
1.0
2.079 -4.615 0.000
2.079 4.615 0.000
0.000 0.000 9.550
Sm Mn O
2 4 10
Direct
0.034 0.966 0.750 Sm
0.966 0.034 0.250 Sm
0.350 0.650 0.551 Mn
0.350 0.650 0.949 Mn
0.650 0.350 0.051 Mn
0.650 0.350 0.449 Mn
0.157 0.843 0.035 O
0.157 0.843 0.465 O
0.280 0.720 0.750 O
0.455 0.545 0.122 O
0.455 0.545 0.378 O
0.545 0.455 0.622 O
0.545 0.455 0.878 O
0.720 0.280 0.250 O
0.843 0.157 0.535 O
0.843 0.157 0.965 O
```